Entry 1:
Here is crystalline Na3LiTc at its relaxed geometry from Alexandria via LeMat-Bulk. Energies are from PBE-GGA. Values from VASP.

Results
Formation energy from the elements   1125 meV/atom
ΔE to the lowest computed polymorph   0.000 eV/atom
Magnetization   3.25 Bohr magnetons per cell

The structure in Quantum ESPRESSO input format:
```
&SYSTEM
  ibrav = 0, nat = 5, ntyp = 3
/
ATOMIC_SPECIES
Na 22.99 Na.upf
Li 6.94 Li.upf
Tc 98.00 Tc.upf
CELL_PARAMETERS angstrom
5.810 0.000 0.000
0.000 5.810 0.000
0.000 0.000 5.810
ATOMIC_POSITIONS angstrom
Na 0.000 0.000 2.905
Na 0.000 2.905 0.000
Na 2.905 0.000 0.000
Li 2.905 2.905 2.905
Tc 0.000 0.000 0.000
```


Entry 2:
Here is crystalline NaLiTc2 at its relaxed geometry from Alexandria via LeMat-Bulk. Energies are from PBE-GGA. Values from VASP.

Results
Formation energy from the elements   699 meV/atom
ΔE to the lowest computed polymorph   0.000 eV/atom
Magnetization   0.00 Bohr magnetons per cell

The structure in Quantum ESPRESSO input format:
```
&SYSTEM
  ibrav = 0, nat = 16, ntyp = 3
/
ATOMIC_SPECIES
Na 22.99 Na.upf
Li 6.94 Li.upf
Tc 98.00 Tc.upf
CELL_PARAMETERS angstrom
3.572 0.000 0.000
0.000 3.572 0.000
0.000 0.000 20.952
ATOMIC_POSITIONS angstrom
Na 0.000 0.000 0.000
Na 0.000 1.786 5.238
Na 1.786 0.000 15.714
Na 1.786 1.786 10.476
Li 0.000 0.000 10.476
Li 0.000 1.786 15.714
Li 1.786 0.000 5.238
Li 1.786 1.786 0.000
Tc 0.839 2.679 13.095
Tc 0.893 0.839 7.857
Tc 0.893 0.947 18.333
Tc 0.947 2.679 2.619
Tc 2.625 0.893 2.619
Tc 2.679 2.625 18.333
Tc 2.679 2.733 7.857
Tc 2.733 0.893 13.095
```


Entry 3:
Here is crystalline NaLiZrTc2 at its relaxed geometry from Alexandria via LeMat-Bulk. Energies are from PBE-GGA. Values from VASP.

Results
Formation energy from the elements   1000 meV/atom
Magnetization   0.00 Bohr magnetons per cell

The structure in Quantum ESPRESSO input format:
```
&SYSTEM
  ibrav = 0, nat = 5, ntyp = 4
/
ATOMIC_SPECIES
Na 22.99 Na.upf
Li 6.94 Li.upf
Zr 91.22 Zr.upf
Tc 98.00 Tc.upf
CELL_PARAMETERS angstrom
4.583 0.000 0.000
0.000 4.583 0.000
0.000 0.000 3.892
ATOMIC_POSITIONS angstrom
Na 0.000 0.000 0.000
Li 0.000 0.000 1.946
Zr 2.292 2.292 0.000
Tc 0.000 2.292 1.946
Tc 2.292 0.000 1.946
```


Entry 4:
Here is crystalline NaLiTe at its relaxed geometry from Alexandria via LeMat-Bulk. Energies are from PBE-GGA. Values from VASP.

Results
Formation energy (no corrections)   -0.97 eV per atom
Magnetization   0.00 Bohr magnetons per cell

The structure in Quantum ESPRESSO input format:
```
&SYSTEM
  ibrav = 0, nat = 9, ntyp = 3
/
ATOMIC_SPECIES
Na 22.99 Na.upf
Li 6.94 Li.upf
Te 127.60 Te.upf
CELL_PARAMETERS angstrom
7.514 0.000 0.000
-3.757 6.508 0.000
0.000 0.000 4.578
ATOMIC_POSITIONS angstrom
Na -2.161 3.744 0.000
Na 1.596 2.764 0.000
Na 4.323 0.000 0.000
Li -0.952 1.649 2.289
Li 1.905 0.000 2.289
Li 2.805 4.858 2.289
Te 0.000 0.000 0.000
Te 0.000 4.338 2.289
Te 3.757 2.169 2.289
```


Entry 5:
Here is crystalline NaLiTe at its relaxed geometry from Alexandria via LeMat-Bulk. Energies are from PBE-GGA. Values from VASP.

Results
Formation energy (no corrections)   -0.88 eV per atom
Magnetization   0.00 Bohr magnetons per cell

The structure in Quantum ESPRESSO input format:
```
&SYSTEM
  ibrav = 0, nat = 3, ntyp = 3
/
ATOMIC_SPECIES
Na 22.99 Na.upf
Li 6.94 Li.upf
Te 127.60 Te.upf
CELL_PARAMETERS angstrom
4.601 0.000 0.000
-2.300 3.984 0.000
0.000 0.000 4.499
ATOMIC_POSITIONS angstrom
Na 0.000 0.000 0.000
Li 0.000 2.656 2.249
Te 2.300 1.328 2.249
```


Entry 6:
Here is crystalline Na2LiTe at its relaxed geometry from Alexandria via LeMat-Bulk. Energies are from PBE-GGA. Values from VASP.

Results
Formation energy (no corrections)   -0.38 eV per atom
Magnetization   0.00 Bohr magnetons per cell

The structure in Quantum ESPRESSO input format:
```
&SYSTEM
  ibrav = 0, nat = 16, ntyp = 3
/
ATOMIC_SPECIES
Na 22.99 Na.upf
Li 6.94 Li.upf
Te 127.60 Te.upf
CELL_PARAMETERS angstrom
4.487 0.000 0.000
0.000 4.487 0.000
0.000 0.000 22.401
ATOMIC_POSITIONS angstrom
Na 1.050 1.122 2.800
Na 1.122 3.294 8.400
Na 1.122 3.437 19.601
Na 1.193 1.122 14.001
Na 3.294 3.365 14.001
Na 3.365 1.050 19.601
Na 3.365 1.193 8.400
Na 3.437 3.365 2.800
Li 0.000 0.000 11.201
Li 0.000 2.244 16.801
Li 2.244 0.000 5.600
Li 2.244 2.244 0.000
Te 0.000 0.000 0.000
Te 0.000 2.244 5.600
Te 2.244 0.000 16.801
Te 2.244 2.244 11.201
```


Entry 7:
Here is crystalline NaLiTe at its relaxed geometry from Alexandria via LeMat-Bulk. Energies are from PBE-GGA. Values from VASP.

Results
Formation energy (no corrections)   -0.98 eV per atom
Magnetization   0.00 Bohr magnetons per cell

The structure in Quantum ESPRESSO input format:
```
&SYSTEM
  ibrav = 0, nat = 18, ntyp = 3
/
ATOMIC_SPECIES
Na 22.99 Na.upf
Li 6.94 Li.upf
Te 127.60 Te.upf
CELL_PARAMETERS angstrom
7.566 0.000 0.000
0.000 4.581 0.000
-0.100 0.000 12.933
ATOMIC_POSITIONS angstrom
Na -0.023 1.145 3.899
Na 2.576 3.435 11.879
Na 3.581 3.435 8.037
Na 3.885 1.145 4.896
Na 4.890 1.145 1.055
Na 7.489 3.435 9.034
Li 0.041 1.145 11.736
Li 1.060 1.145 7.041
Li 2.599 3.435 2.777
Li 4.868 1.145 10.156
Li 6.406 3.435 5.892
Li 7.425 3.435 1.197
Te 1.653 1.145 1.228
Te 1.658 3.435 5.514
Te 2.055 1.145 9.734
Te 5.411 3.435 3.199
Te 5.808 1.145 7.419
Te 5.813 3.435 11.705
```


Entry 8:
Here is crystalline NaLiTe at its relaxed geometry from Alexandria via LeMat-Bulk. Energies are from PBE-GGA. Values from VASP.

Results
Formation energy (no corrections)   -0.76 eV per atom
Magnetization   0.00 Bohr magnetons per cell

The structure in Quantum ESPRESSO input format:
```
&SYSTEM
  ibrav = 0, nat = 6, ntyp = 3
/
ATOMIC_SPECIES
Na 22.99 Na.upf
Li 6.94 Li.upf
Te 127.60 Te.upf
CELL_PARAMETERS angstrom
4.224 0.000 0.000
0.000 4.224 0.000
0.000 0.000 8.568
ATOMIC_POSITIONS angstrom
Na 0.000 0.000 0.000
Na 2.112 2.112 4.284
Li 0.000 0.000 2.722
Li 2.112 2.112 7.007
Te 0.000 0.000 5.572
Te 2.112 2.112 1.288
```


Entry 9:
Here is crystalline NaLi2Te at its relaxed geometry from Alexandria via LeMat-Bulk. Energies are from PBE-GGA. Values from VASP.

Results
Formation energy (no corrections)   -0.58 eV per atom
Magnetization   0.00 Bohr magnetons per cell

The structure in Quantum ESPRESSO input format:
```
&SYSTEM
  ibrav = 0, nat = 4, ntyp = 3
/
ATOMIC_SPECIES
Na 22.99 Na.upf
Li 6.94 Li.upf
Te 127.60 Te.upf
CELL_PARAMETERS angstrom
4.493 0.000 0.000
0.000 4.493 0.000
0.000 0.000 4.331
ATOMIC_POSITIONS angstrom
Na 0.000 0.000 0.000
Li 0.000 2.247 2.165
Li 2.247 0.000 2.165
Te 2.247 2.247 0.000
```


Entry 10:
Here is crystalline NaLi3Te at its relaxed geometry from Alexandria via LeMat-Bulk. Energies are from PBE-GGA. Values from VASP.

Results
Formation energy (no corrections)   -0.40 eV per atom
ΔE to the lowest computed polymorph   0.000 eV/atom
Magnetization   0.00 Bohr magnetons per cell

The structure in Quantum ESPRESSO input format:
```
&SYSTEM
  ibrav = 0, nat = 5, ntyp = 3
/
ATOMIC_SPECIES
Na 22.99 Na.upf
Li 6.94 Li.upf
Te 127.60 Te.upf
CELL_PARAMETERS angstrom
5.343 0.000 0.000
0.000 5.343 0.000
0.000 0.000 5.343
ATOMIC_POSITIONS angstrom
Na 0.000 0.000 0.000
Li 0.000 2.672 2.672
Li 2.672 0.000 2.672
Li 2.672 2.672 0.000
Te 2.672 2.672 2.672
```


Entry 11:
Here is crystalline Na2Li2Te at its relaxed geometry from Alexandria via LeMat-Bulk. Energies are from PBE-GGA. Values from VASP.

Results
Formation energy (no corrections)   -0.44 eV per atom
ΔE to the lowest computed polymorph   0.000 eV/atom
Magnetization   0.00 Bohr magnetons per cell

The structure in Quantum ESPRESSO input format:
```
&SYSTEM
  ibrav = 0, nat = 10, ntyp = 3
/
ATOMIC_SPECIES
Na 22.99 Na.upf
Li 6.94 Li.upf
Te 127.60 Te.upf
CELL_PARAMETERS angstrom
7.185 0.000 0.000
0.000 7.185 0.000
0.000 0.000 5.143
ATOMIC_POSITIONS angstrom
Na 1.258 2.334 0.000
Na 2.334 5.927 0.000
Na 4.851 1.258 0.000
Na 5.927 4.851 0.000
Li 1.036 4.628 2.572
Li 2.557 1.036 2.572
Li 4.628 6.149 2.572
Li 6.149 2.557 2.572
Te 0.000 0.000 2.572
Te 3.592 3.592 2.572
```


Entry 12:
Here is crystalline NaLiTe at its relaxed geometry from Alexandria via LeMat-Bulk. Energies are from PBE-GGA. Values from VASP.

Results
Formation energy (no corrections)   -0.74 eV per atom
Magnetization   0.00 Bohr magnetons per cell

The structure in Quantum ESPRESSO input format:
```
&SYSTEM
  ibrav = 0, nat = 12, ntyp = 3
/
ATOMIC_SPECIES
Na 22.99 Na.upf
Li 6.94 Li.upf
Te 127.60 Te.upf
CELL_PARAMETERS angstrom
8.729 0.000 0.000
0.000 10.023 0.000
0.000 0.000 4.006
ATOMIC_POSITIONS angstrom
Na 2.184 0.003 0.000
Na 2.180 5.014 0.000
Na 6.544 10.020 0.000
Na 6.549 5.009 0.000
Li 0.009 2.502 0.000
Li 4.355 7.513 0.000
Li 4.374 2.510 0.000
Li 8.719 7.521 0.000
Te 2.172 7.520 2.003
Te 2.192 2.509 2.003
Te 6.537 7.513 2.003
Te 6.557 2.502 2.003
```


Entry 13:
Here is crystalline Na3Li2Te4 at its relaxed geometry from Alexandria via LeMat-Bulk. Energies are from PBE-GGA. Values from VASP.

Results
Formation energy (no corrections)   -0.69 eV per atom
Magnetization   0.00 Bohr magnetons per cell

The structure in Quantum ESPRESSO input format:
```
&SYSTEM
  ibrav = 0, nat = 18, ntyp = 3
/
ATOMIC_SPECIES
Na 22.99 Na.upf
Li 6.94 Li.upf
Te 127.60 Te.upf
CELL_PARAMETERS angstrom
7.628 -5.469 0.000
7.628 5.469 0.000
-0.846 0.000 5.984
ATOMIC_POSITIONS angstrom
Na 6.994 4.400 4.488
Na 4.976 1.236 5.750
Na 5.399 -1.236 2.758
Na 9.011 1.236 3.227
Na 9.434 -1.236 0.234
Na 7.417 -4.400 1.496
Li 3.024 1.538 2.174
Li 2.600 -1.538 5.166
Li 11.810 1.538 0.818
Li 11.387 -1.538 3.810
Te 1.605 1.074 5.330
Te 5.650 2.095 2.761
Te 2.029 -1.074 2.338
Te 9.184 2.095 0.231
Te 5.227 -2.095 5.753
Te 12.382 1.074 3.646
Te 8.761 -2.095 3.223
Te 12.805 -1.074 0.654
```


Entry 14:
Here is crystalline NaLiTe3 at its relaxed geometry from Alexandria via LeMat-Bulk. Energies are from PBE-GGA. Values from VASP.

Results
Formation energy (no corrections)   0.21 eV per atom
ΔE to the lowest computed polymorph   0.722 eV/atom
Magnetization   0.00 Bohr magnetons per cell

The structure in Quantum ESPRESSO input format:
```
&SYSTEM
  ibrav = 0, nat = 5, ntyp = 3
/
ATOMIC_SPECIES
Na 22.99 Na.upf
Li 6.94 Li.upf
Te 127.60 Te.upf
CELL_PARAMETERS angstrom
5.569 0.000 0.000
0.000 5.569 0.000
0.000 0.000 5.569
ATOMIC_POSITIONS angstrom
Na 0.000 0.000 0.000
Li 2.785 2.785 2.785
Te 0.000 0.000 2.785
Te 0.000 2.785 0.000
Te 2.785 0.000 0.000
```


Entry 15:
Here is crystalline NaLiTe at its relaxed geometry from Alexandria via LeMat-Bulk. Energies are from PBE-GGA. Values from VASP.

Results
Formation energy (no corrections)   -1.00 eV per atom
Magnetization   0.00 Bohr magnetons per cell

The structure in Quantum ESPRESSO input format:
```
&SYSTEM
  ibrav = 0, nat = 12, ntyp = 3
/
ATOMIC_SPECIES
Na 22.99 Na.upf
Li 6.94 Li.upf
Te 127.60 Te.upf
CELL_PARAMETERS angstrom
7.723 0.000 0.000
0.000 4.608 0.000
0.000 0.000 8.363
ATOMIC_POSITIONS angstrom
Na 0.119 1.152 1.543
Na 3.743 3.456 5.725
Na 3.980 1.152 2.638
Na 7.604 3.456 6.820
Li 1.098 1.152 4.776
Li 2.764 3.456 0.595
Li 4.959 1.152 7.769
Li 6.625 3.456 3.587
Te 1.738 3.456 3.275
Te 2.124 1.152 7.457
Te 5.599 3.456 0.906
Te 5.985 1.152 5.088
```


Entry 16:
Here is crystalline NaLi2Te at its relaxed geometry from Alexandria via LeMat-Bulk. Energies are from PBE-GGA. Values from VASP.

Results
Formation energy (no corrections)   -0.57 eV per atom
Magnetization   0.00 Bohr magnetons per cell

The structure in Quantum ESPRESSO input format:
```
&SYSTEM
  ibrav = 0, nat = 12, ntyp = 3
/
ATOMIC_SPECIES
Na 22.99 Na.upf
Li 6.94 Li.upf
Te 127.60 Te.upf
CELL_PARAMETERS angstrom
4.489 0.000 0.000
-2.245 3.888 0.000
0.000 0.000 19.013
ATOMIC_POSITIONS angstrom
Na 0.000 0.000 0.000
Na 0.000 2.592 12.675
Na 2.245 1.296 6.338
Li 0.000 0.000 4.078
Li 0.000 0.000 14.935
Li 0.000 2.592 8.598
Li 0.000 2.592 16.753
Li 2.245 1.296 2.260
Li 2.245 1.296 10.416
Te 0.000 0.000 9.507
Te 0.000 2.592 3.169
Te 2.245 1.296 15.844
```


Entry 17:
Here is crystalline NaLiTe3 at its relaxed geometry from Alexandria via LeMat-Bulk. Energies are from PBE-GGA. Values from VASP.

Results
Formation energy (no corrections)   -0.17 eV per atom
ΔE to the lowest computed polymorph   0.339 eV/atom
Magnetization   0.00 Bohr magnetons per cell

The structure in Quantum ESPRESSO input format:
```
&SYSTEM
  ibrav = 0, nat = 5, ntyp = 3
/
ATOMIC_SPECIES
Na 22.99 Na.upf
Li 6.94 Li.upf
Te 127.60 Te.upf
CELL_PARAMETERS angstrom
5.237 0.000 0.000
0.000 5.237 0.000
0.000 0.000 5.237
ATOMIC_POSITIONS angstrom
Na 0.000 0.000 0.000
Li 2.618 2.618 2.618
Te 0.000 2.618 2.618
Te 2.618 0.000 2.618
Te 2.618 2.618 0.000
```


Entry 18:
Here is crystalline NaLiTe3 at its relaxed geometry from Alexandria via LeMat-Bulk. Energies are from PBE-GGA. Values from VASP.

Results
Formation energy (no corrections)   -0.51 eV per atom
ΔE to the lowest computed polymorph   0.000 eV/atom
Magnetization   0.00 Bohr magnetons per cell

The structure in Quantum ESPRESSO input format:
```
&SYSTEM
  ibrav = 0, nat = 10, ntyp = 3
/
ATOMIC_SPECIES
Na 22.99 Na.upf
Li 6.94 Li.upf
Te 127.60 Te.upf
CELL_PARAMETERS angstrom
4.270 0.000 0.000
0.000 11.444 0.000
-2.116 0.000 5.787
ATOMIC_POSITIONS angstrom
Na -0.007 2.861 1.912
Na 2.161 8.583 3.875
Li 2.135 0.000 0.000
Li 2.135 5.722 0.000
Te 0.010 6.514 2.171
Te 0.010 10.652 2.171
Te 0.008 2.861 5.274
Te 2.145 8.583 0.513
Te 2.143 0.792 3.616
Te 2.143 4.930 3.616
```


Entry 19:
Here is crystalline Na4LiTe5 at its relaxed geometry from Alexandria via LeMat-Bulk. Energies are from PBE-GGA. Values from VASP.

Results
Formation energy (no corrections)   -0.62 eV per atom
Magnetization   0.00 Bohr magnetons per cell

The structure in Quantum ESPRESSO input format:
```
&SYSTEM
  ibrav = 0, nat = 10, ntyp = 3
/
ATOMIC_SPECIES
Na 22.99 Na.upf
Li 6.94 Li.upf
Te 127.60 Te.upf
CELL_PARAMETERS angstrom
5.401 -3.364 0.000
5.401 3.364 0.000
-2.613 0.000 7.906
ATOMIC_POSITIONS angstrom
Na 0.108 0.000 3.124
Na 2.805 -0.983 1.548
Na 5.384 -0.983 6.357
Na 8.081 0.000 4.782
Li 5.401 0.349 0.000
Te 5.401 3.192 0.000
Te 0.100 -0.802 6.301
Te 2.703 -0.099 4.964
Te 5.486 -0.099 2.942
Te 8.089 -0.802 1.605
```


Entry 20:
Here is crystalline NaLi2Te at its relaxed geometry from Alexandria via LeMat-Bulk. Energies are from PBE-GGA. Values from VASP.

Results
Formation energy (no corrections)   -0.60 eV per atom
Magnetization   1.98 Bohr magnetons per cell

The structure in Quantum ESPRESSO input format:
```
&SYSTEM
  ibrav = 0, nat = 12, ntyp = 3
/
ATOMIC_SPECIES
Na 22.99 Na.upf
Li 6.94 Li.upf
Te 127.60 Te.upf
CELL_PARAMETERS angstrom
4.545 0.000 0.000
-2.273 3.936 0.000
0.000 0.000 18.332
ATOMIC_POSITIONS angstrom
Na 0.000 0.000 0.000
Na 0.000 2.624 12.221
Na 2.273 1.312 6.111
Li 0.000 0.000 10.181
Li 0.000 0.000 14.481
Li 0.000 2.624 4.070
Li 0.000 2.624 8.370
Li 2.273 1.312 2.260
Li 2.273 1.312 16.292
Te 0.000 0.000 3.309
Te 0.000 2.624 15.531
Te 2.273 1.312 9.420
```